First-principles (PBE-GGA) data for crystalline Sr2Cd2InPd5 at its relaxed geometry, as listed in Alexandria.

a = 10.6835 Å, b = 10.6835 Å, c = 3.7322 Å
α = 90.00°, β = 90.00°, γ = 90.00°
Last column: nearest neighbours and their distance in Å.
Element x y z (fractional)
Sr: 0.1716 0.3284 0.0000  3 Cd 3.01-3.25, 2 Pd 3.19
Sr: 0.3284 0.8284 0.0000  3 Cd 3.01-3.25, 2 Pd 3.19
Sr: 0.6716 0.1716 0.0000  3 Cd 3.01-3.25, 2 Pd 3.19
Sr: 0.8284 0.6716 0.0000  3 Cd 3.01-3.25, 2 Pd 3.19
Cd: 0.1293 0.6293 0.0000  6 Pd 2.70-2.78, 1 Sr 3.01
Cd: 0.3707 0.1293 0.0000  6 Pd 2.70-2.78, 1 Sr 3.01
Cd: 0.6293 0.8707 0.0000  6 Pd 2.70-2.78, 1 Sr 3.01
Cd: 0.8707 0.3707 0.0000  6 Pd 2.70-2.78, 1 Sr 3.01
In: 0.0000 0.0000 0.0000  8 Pd 2.84
In: 0.5000 0.5000 0.0000  8 Pd 2.84
Pd: 0.0000 0.5000 0.5000  4 Cd 2.70
Pd: 0.0563 0.8082 0.5000  2 Cd 2.78, 2 In 2.84, 2 Pd 3.02
Pd: 0.1918 0.0563 0.5000  2 Cd 2.78, 2 In 2.84, 2 Pd 3.02
Pd: 0.3082 0.5563 0.5000  2 Cd 2.78, 2 In 2.84, 2 Pd 3.02
Pd: 0.4437 0.3082 0.5000  2 Cd 2.78, 2 In 2.84, 2 Pd 3.02
Pd: 0.5000 0.0000 0.5000  4 Cd 2.70
Pd: 0.5563 0.6918 0.5000  2 Cd 2.78, 2 In 2.84, 2 Pd 3.02
Pd: 0.6918 0.4437 0.5000  2 Cd 2.78, 2 In 2.84, 2 Pd 3.02
Pd: 0.8082 0.9437 0.5000  2 Cd 2.78, 2 In 2.84, 2 Pd 3.02
Pd: 0.9437 0.1918 0.5000  2 Cd 2.78, 2 In 2.84, 2 Pd 3.02

Properties
* space group: P4/mbm, No. 127
* Fermi-level density of states: 0.4218 states/eV/atom
* total magnetization: 0.00 Bohr magnetons per cell
* E: -77.341 eV/cell
* crystal system: tetragonal

***

First-principles (PBE-GGA) data for crystalline SrCd2InPd2 at its relaxed geometry, as listed in Alexandria.

a = 6.7912 Å, b = 6.7912 Å, c = 6.7912 Å
α = 133.37°, β = 133.37°, γ = 68.07°
Last column: nearest neighbours and their distance in Å.
Element x y z (fractional)
Sr: 0.0000 0.0000 0.0000  2 Pd 3.06
Cd: 0.2500 0.7500 0.5000  4 Pd 2.70
Cd: 0.7500 0.2500 0.5000  4 Pd 2.70
In: 0.5000 0.5000 0.0000  2 Pd 2.57
Pd: 0.2715 0.2715 0.0000  1 In 2.57, 4 Cd 2.70
Pd: 0.7285 0.7285 0.0000  1 In 2.57, 4 Cd 2.70

Properties
* space group: I4/mmm, No. 139
* Fermi-level density of states: 0.5288 states/eV/atom
* total magnetization: 0.00 Bohr magnetons per cell
* E: -18.291 eV/cell
* crystal system: tetragonal

***

First-principles (PBE-GGA) data for crystalline SrCd2InPd at its relaxed geometry, as listed in Alexandria.

a = 5.2534 Å, b = 5.2534 Å, c = 5.1587 Å
α = 90.00°, β = 90.00°, γ = 90.00°
Last column: nearest neighbours and their distance in Å.
Element x y z (fractional)
Sr: 0.0000 0.0000 0.0000  8 Cd 3.68, 4 In 3.71
Cd: 0.0000 0.5000 0.5000  2 Pd 2.63
Cd: 0.5000 0.0000 0.5000  2 Pd 2.63
In: 0.5000 0.5000 0.0000  2 Pd 2.58
Pd: 0.5000 0.5000 0.5000  2 In 2.58, 4 Cd 2.63

Properties
* space group: P4/mmm, No. 123
* Fermi-level density of states: 0.5545 states/eV/atom
* energy relative to the lowest polymorph listed for this composition: 116 meV/atom
* total magnetization: 0.00 Bohr magnetons per cell
* E: -12.903 eV/cell
* crystal system: tetragonal

***

First-principles (PBE-GGA) data for crystalline SrCd2InPd at its relaxed geometry, as listed in Alexandria.

a = 7.1364 Å, b = 7.1364 Å, c = 7.1364 Å
α = 143.49°, β = 143.16°, γ = 52.84°
Last column: nearest neighbours and their distance in Å.
Element x y z (fractional)
Sr: 0.0000 0.0000 0.0000  4 Pd 3.42, 6 Cd 3.49-3.70, 2 In 3.67
Cd: 0.6139 0.6139 0.0000  1 Pd 2.71, 2 Cd 2.99
Cd: 0.7696 0.2696 0.5000  2 Pd 2.82, 2 Cd 2.99
In: 0.2735 0.7735 0.5000  2 Pd 2.77, 2 Cd 3.04
Pd: 0.4015 0.4015 0.0000  3 Cd 2.71-2.82, 2 In 2.77

Properties
* space group: Imm2, No. 44
* Fermi-level density of states: 0.4848 states/eV/atom
* energy relative to the lowest polymorph listed for this composition: 0 meV/atom
* total magnetization: 0.00 Bohr magnetons per cell
* E: -13.483 eV/cell
* crystal system: orthorhombic